# 1
# Mg3AgHg, optimized geometry, DFT PBE-GGA
# relative energy among the computed polymorphs = 82 meV per atom
# E_tot = -1.701 eV per atom
data_Mg3AgHg
_cell_length_a 4.5775
_cell_length_b 6.1510
_cell_length_c 7.9047
_cell_angle_alpha 90.00
_cell_angle_beta 90.00
_cell_angle_gamma 90.00
_space_group_name_H-M_alt 'P 1'
_space_group_IT_number 1
_space_group_name_Hall 'P 1'
loop_
_atom_site_label
_atom_site_fract_x
_atom_site_fract_y
_atom_site_fract_z
Mg1 0.2500 0.0022 0.1856
Mg2 0.2500 0.4978 0.1856
Mg3 0.2500 0.7500 0.5503
Mg4 0.7500 0.2500 0.4497
Mg5 0.7500 0.5022 0.8144
Mg6 0.7500 0.9978 0.8144
Ag1 0.2500 0.7500 0.8935
Ag2 0.7500 0.2500 0.1065
Hg1 0.2500 0.2500 0.6715
Hg2 0.7500 0.7500 0.3285



# 2
# LiBeZn11, optimized geometry, DFT PBE-GGA
# E_tot = -1.510 eV per atom
data_LiBeZn11
_cell_length_a 6.7411
_cell_length_b 6.7411
_cell_length_c 6.6794
_cell_angle_alpha 97.50
_cell_angle_beta 97.50
_cell_angle_gamma 136.79
_space_group_name_H-M_alt 'P 1'
_space_group_IT_number 1
_space_group_name_Hall 'P 1'
loop_
_atom_site_label
_atom_site_fract_x
_atom_site_fract_y
_atom_site_fract_z
Li1 0.0000 0.0000 0.0000
Be1 0.5000 0.5000 0.5000
Zn1 0.0000 0.0000 0.5000
Zn2 0.0000 0.5000 0.0000
Zn3 0.0116 0.3526 0.3553
Zn4 0.3023 0.5095 0.7824
Zn5 0.3526 0.0116 0.3553
Zn6 0.4905 0.6977 0.2176
Zn7 0.5000 0.0000 0.0000
Zn8 0.5095 0.3023 0.7824
Zn9 0.6474 0.9884 0.6447
Zn10 0.6977 0.4905 0.2176
Zn11 0.9884 0.6474 0.6447



# 3
# AlInHg2Cl, optimized geometry, DFT PBE-GGA
# uncorrected formation energy = -0.66 eV/f.u.
# E_tot = -1.919 eV per atom
data_AlInHg2Cl
_cell_length_a 5.2207
_cell_length_b 5.2207
_cell_length_c 5.6234
_cell_angle_alpha 90.00
_cell_angle_beta 90.00
_cell_angle_gamma 90.00
_space_group_name_H-M_alt 'P 1'
_space_group_IT_number 1
_space_group_name_Hall 'P 1'
loop_
_atom_site_label
_atom_site_fract_x
_atom_site_fract_y
_atom_site_fract_z
Al1 0.0000 0.0000 0.0000
In1 0.0000 0.0000 0.5000
Hg1 0.0000 0.5000 0.0000
Hg2 0.5000 0.0000 0.0000
Cl1 0.5000 0.5000 0.5000